Record 1
Entry from Alexandria via LeMat-Bulk: a relaxed CrAgW crystal (PBE).

Geometry as POSCAR:
```
CrAgW
1.0
3.1157 0.0000 0.0000
0.0000 4.4342 0.0000
0.0000 0.0000 13.4415
Cr Ag W
4 4 4
Direct
0.0000 0.0000 0.0000
0.0000 0.5000 0.5000
0.5000 0.0000 0.5000
0.5000 0.5000 0.0000
0.0000 0.0000 0.3289
0.0000 0.5000 0.8289
0.5000 0.0000 0.8289
0.5000 0.5000 0.3289
0.0000 0.0000 0.6453
0.0000 0.5000 0.1453
0.5000 0.0000 0.1453
0.5000 0.5000 0.6453
```

## Properties
As for the magnetization: 0.00 μB per atom. As for the space-group type: No. 42. The polymorph energy (0 for the lowest one) is 0.00 kJ/mol of atoms. Its formation energy is 0.4934 eV per atom.



Record 2
Entry from Alexandria via LeMat-Bulk: a relaxed CdCuP crystal (PBE).

Geometry as POSCAR:
```
CdCuP
1.0
2.7370 0.0000 0.0000
0.0000 3.5779 0.0000
0.0000 0.0000 10.5849
Cd Cu P
2 2 2
Direct
0.0000 0.0000 0.0000
0.5000 0.5000 0.5000
0.0000 0.0000 0.3064
0.5000 0.5000 0.8064
0.0000 0.0000 0.7126
0.5000 0.5000 0.2126
```

## Properties
As for the magnetization: 0.00 μB per atom. As for the space-group type: No. 44. Its formation energy is 0.2272 eV per atom.



Record 3
Entry from Alexandria via LeMat-Bulk: a relaxed SmVSb3 crystal (PBE).

Geometry as POSCAR:
```
SmVSb3
1.0
5.5953 0.0000 0.0000
0.0000 5.1777 0.0000
0.0000 0.0000 10.0808
Sm V Sb
2 2 6
Direct
0.2500 0.0000 0.2320
0.7500 0.0000 0.7680
0.2500 0.5000 0.6830
0.7500 0.5000 0.3170
0.2500 0.0000 0.5874
0.2500 0.0000 0.8846
0.2500 0.5000 0.3955
0.7500 0.0000 0.1154
0.7500 0.0000 0.4126
0.7500 0.5000 0.6045
```

## Properties
As for the magnetization: 0.35 μB per atom. Its formation energy (no corrections) is -0.7 eV/f.u. As for the space-group type: No. 51. The polymorph energy (0 for the lowest one) is 38.83 kJ/mol of atoms.



Record 4
Entry from Alexandria via LeMat-Bulk: a relaxed TbPuS2N crystal (PBE).

Geometry as POSCAR:
```
TbPuS2N
1.0
3.8301 0.0000 0.0000
0.0000 3.8301 0.0000
0.0000 0.0000 13.8196
Tb Pu S N
2 2 4 2
Direct
0.2500 0.2500 0.1235
0.7500 0.7500 0.8765
0.2500 0.2500 0.5839
0.7500 0.7500 0.4161
0.2500 0.2500 0.3108
0.2500 0.2500 0.9082
0.7500 0.7500 0.0918
0.7500 0.7500 0.6892
0.2500 0.7500 0.5000
0.7500 0.2500 0.5000
```

## Properties
As for the magnetization: 0.76 μB per atom. Its formation energy (no corrections) is -8.4 eV/f.u. As for the space-group type: No. 129.



Result set for density: 12293 6630 6443 7881 kg/m³, one per record in the order listed.
Result set for final energy: -7.983 -3.247 -5.372 -8.796 eV/atom, one per record in the order listed.